[1]
# Ca4Ho3AgS8 PBE relaxed
data_Ca4Ho3AgS8
_chemical_formula_sum 'Ca12 Ho9 Ag3 S24'
_space_group_name_H-M_alt 'R -3 m'
_space_group_IT_number 166
_space_group_name_Hall '-R 3 2"'
_cell_length_a 7.9158
_cell_length_b 7.9158
_cell_length_c 19.4698
_cell_angle_alpha 90.00
_cell_angle_beta 90.00
_cell_angle_gamma 120.00
loop_
_atom_site_label
_atom_site_fract_x
_atom_site_fract_y
_atom_site_fract_z
Ca1 0.0000 0.0000 0.0000
Ca2 0.0000 0.5000 0.0000
Ho1 0.0000 0.5000 0.5000
Ag1 0.0000 0.0000 0.5000
S1 0.0000 0.0000 0.2473
S2 0.0064 0.5032 0.7522
# uncorrected energy: -5.480 eV per atom
# theoretical density: 4.81 g/cm³

***

[2]
# Tb6PrY2Tm PBE relaxed
data_Tb6PrY2Tm
_chemical_formula_sum 'Tb24 Pr4 Y8 Tm4'
_space_group_name_H-M_alt 'C 1 2/c 1'
_space_group_IT_number 15
_cell_length_a 9.264
_cell_length_b 15.043
_cell_length_c 9.433
_cell_angle_alpha 90.00
_cell_angle_beta 95.30
_cell_angle_gamma 90.00
loop_
_space_group_symop_operation_xyz
'x,y,z'
'-x,-y,-z'
'-x,y,-z+1/2'
'x,-y,z+1/2'
'x+1/2,y+1/2,z'
'-x+1/2,-y+1/2,-z'
'-x+1/2,y+1/2,-z+1/2'
'x+1/2,-y+1/2,z+1/2'
loop_
_atom_site_label
_atom_site_fract_x
_atom_site_fract_y
_atom_site_fract_z
Tb1 0.061 0.181 0.442
Tb2 0.095 0.386 0.615
Tb3 0.216 0.226 0.816
Pr1 0.000 0.032 0.750
Y1 0.245 0.449 0.949
Tm1 0.000 0.411 0.250
# uncorrected energy: -4.874 eV per atom
# energy of formation: 122 meV/atom
# theoretical density: 7.31 g/cm³

***

[3]
# Ti2Zn3Pd2 PBE relaxed
data_Ti2Zn3Pd2
_chemical_formula_sum 'Ti4 Zn6 Pd4'
_space_group_name_H-M_alt 'C 1 2/m 1'
_space_group_IT_number 12
_cell_length_a 7.915
_cell_length_b 4.482
_cell_length_c 7.273
_cell_angle_alpha 90.00
_cell_angle_beta 122.10
_cell_angle_gamma 90.00
loop_
_space_group_symop_operation_xyz
'x,y,z'
'-x,-y,-z'
'-x,y,-z'
'x,-y,z'
'x+1/2,y+1/2,z'
'-x+1/2,-y+1/2,-z'
'-x+1/2,y+1/2,-z'
'x+1/2,-y+1/2,z'
loop_
_atom_site_label
_atom_site_fract_x
_atom_site_fract_y
_atom_site_fract_z
Ti1 0.245 0.000 0.323
Zn1 0.000 0.000 0.500
Zn2 0.194 0.000 0.896
Pd1 0.051 0.500 0.256
# uncorrected energy: -4.666 eV per atom
# E above lowest polymorph: 0.0 meV/atom
# energy of formation: -381 meV/atom
# theoretical density: 7.67 g/cm³

***

[4]
# KPd3O PBE relaxed
data_KPd3O
_chemical_formula_sum 'K1 Pd3 O1'
_space_group_name_H-M_alt 'P m -3 m'
_space_group_IT_number 221
_space_group_name_Hall '-P 4 2 3'
_cell_length_a 4.418
_cell_length_b 4.418
_cell_length_c 4.418
_cell_angle_alpha 90.00
_cell_angle_beta 90.00
_cell_angle_gamma 90.00
loop_
_atom_site_label
_atom_site_fract_x
_atom_site_fract_y
_atom_site_fract_z
K1 0.000 0.000 0.000
Pd1 0.000 0.500 0.500
O1 0.500 0.500 0.500
# uncorrected energy: -4.259 eV per atom
# E above lowest polymorph: 0.0 meV/atom
# theoretical density: 7.21 g/cm³

***

[5]
# BeRuCl2 PBE relaxed
data_BeRuCl2
_chemical_formula_sum 'Be3 Ru3 Cl6'
_space_group_name_H-M_alt 'R 3 m'
_space_group_IT_number 160
_space_group_name_Hall 'R 3 -2"'
_cell_length_a 3.2300
_cell_length_b 3.2300
_cell_length_c 24.8389
_cell_angle_alpha 90.00
_cell_angle_beta 90.00
_cell_angle_gamma 120.00
loop_
_atom_site_label
_atom_site_fract_x
_atom_site_fract_y
_atom_site_fract_z
Be1 0.0000 0.0000 0.0000
Ru1 0.0000 0.0000 0.2547
Cl1 0.0000 0.0000 0.5358
Cl2 0.0000 0.0000 0.7158
# uncorrected energy: -4.355 eV per atom
# E above lowest polymorph: 54.8 meV/atom
# theoretical density: 4.02 g/cm³

***

[6]
# MoAs2SeS PBE relaxed
data_MoAs2SeS
_chemical_formula_sum 'Mo1 As2 Se1 S1'
_space_group_name_H-M_alt 'P 4/m m m'
_space_group_IT_number 123
_space_group_name_Hall '-P 4 2'
_cell_length_a 4.746
_cell_length_b 4.746
_cell_length_c 4.692
_cell_angle_alpha 90.00
_cell_angle_beta 90.00
_cell_angle_gamma 90.00
loop_
_atom_site_label
_atom_site_fract_x
_atom_site_fract_y
_atom_site_fract_z
Mo1 0.000 0.000 0.000
As1 0.000 0.500 0.500
Se1 0.500 0.500 0.000
S1 0.500 0.500 0.500
# uncorrected energy: -4.519 eV per atom
# E above lowest polymorph: 503.2 meV/atom
# theoretical density: 5.61 g/cm³